1.
A relaxed Nd3OsO7 crystal. Source: the Alexandria database, functional PBE-GGA.

Unit cell a=6.656 b=6.656 c=7.615 alpha=90.00 beta=90.00 gamma=68.98
Positions (direct):
Nd 0.000 0.000 0.000
Nd 0.000 0.000 0.500
Nd 0.078 0.475 0.750
Nd 0.475 0.078 0.250
Nd 0.525 0.922 0.750
Nd 0.922 0.525 0.250
Os 0.500 0.500 0.000
Os 0.500 0.500 0.500
O 0.107 0.157 0.250
O 0.157 0.107 0.750
O 0.188 0.561 0.038
O 0.188 0.561 0.462
O 0.418 0.582 0.750
O 0.439 0.812 0.038
O 0.439 0.812 0.462
O 0.561 0.188 0.538
O 0.561 0.188 0.962
O 0.582 0.418 0.250
O 0.812 0.439 0.538
O 0.812 0.439 0.962
O 0.843 0.893 0.250
O 0.893 0.843 0.750

The space-group type is No. 63. Its uncorrected formation energy is -2.65 eV/atom. The calculation puts the density of states at the Fermi level at 1.12 states/eV per cell.

2.
A relaxed MgZrAlGa crystal. Source: the Alexandria database, functional PBE-GGA.

Unit cell a=4.058 b=4.237 c=4.253 alpha=90.00 beta=90.00 gamma=90.00
Positions (direct):
Mg 0.000 0.000 0.000
Zr 0.000 0.500 0.500
Al 0.500 0.000 0.500
Ga 0.500 0.500 0.000

The space-group type is No. 47. As for the formation energy from the elements: -0.4055 eV per atom. The calculation puts the density of states at the Fermi level at 1.26 states/eV per cell.

3.
A relaxed In3BrF2 crystal. Source: the Alexandria database, functional PBE-GGA.

Unit cell a=7.024 b=4.524 c=10.002 alpha=90.00 beta=97.51 gamma=90.00
Positions (direct):
In 0.024 0.250 0.152
In 0.290 0.250 0.434
In 0.394 0.750 0.127
In 0.606 0.250 0.873
In 0.710 0.750 0.566
In 0.976 0.750 0.848
Br 0.195 0.250 0.720
Br 0.805 0.750 0.280
F 0.392 0.750 0.495
F 0.495 0.250 0.077
F 0.505 0.750 0.923
F 0.608 0.250 0.505

The space-group type is No. 11. Its uncorrected formation energy is -1.33 eV/atom.

4.
A relaxed Ac5PmAg6 crystal. Source: the Alexandria database, functional PBE-GGA.

Unit cell a=9.620 b=9.620 c=5.567 alpha=106.77 beta=106.77 gamma=120.14
Positions (direct):
Ac 0.000 0.000 0.000
Ac 0.165 0.835 0.500
Ac 0.332 0.668 0.000
Ac 0.668 0.332 0.000
Ac 0.835 0.165 0.500
Pm 0.500 0.500 0.500
Ag 0.098 0.421 0.259
Ag 0.267 0.267 0.767
Ag 0.421 0.098 0.259
Ag 0.579 0.902 0.741
Ag 0.733 0.733 0.233
Ag 0.902 0.579 0.741

The space-group type is No. 12. As for the formation energy from the elements: -0.2547 eV per atom. The calculation puts the density of states at the Fermi level at 6.02 states/eV per cell.

Taking the records one at a time from the top gives M_tot values of 3.0; 0.0; 0.0; 0.0 μB per formula unit.